# 1
Computed, not measured: LaZn4NiPt2 after structural relaxation at the PBE level of DFT.

## Properties
- Crystal system: trigonal
- ΔE_f: -0.498 eV per atom

a b c (Å): 9.038 9.038 9.038
angles (deg): 27.45 27.45 27.45
Atoms (fractional coordinates):
La: 0.000 0.000 0.000
Zn: 0.134 0.134 0.134
Zn: 0.406 0.406 0.406
Zn: 0.594 0.594 0.594
Zn: 0.866 0.866 0.866
Ni: 0.500 0.500 0.500
Pt: 0.235 0.235 0.235
Pt: 0.765 0.765 0.765

=====

# 2
Computed, not measured: Cs2AgMoI6 after structural relaxation at the PBE level of DFT.

## Properties
- ΔE_f (raw): -699 meV/atom
- Crystal system: cubic

a b c (Å): 8.336 8.336 8.336
angles (deg): 60.00 60.00 60.00
Atoms (fractional coordinates):
Cs: 0.250 0.250 0.250
Cs: 0.750 0.750 0.750
Ag: 0.000 0.000 0.000
Mo: 0.500 0.500 0.500
I: 0.259 0.259 0.741
I: 0.259 0.741 0.259
I: 0.259 0.741 0.741
I: 0.741 0.259 0.259
I: 0.741 0.259 0.741
I: 0.741 0.741 0.259

=====

# 3
Computed, not measured: ZrAlIr after structural relaxation at the PBE level of DFT.

## Properties
- Crystal system: tetragonal
- ΔE_f: -0.728 eV per atom

a b c (Å): 3.042 3.042 11.012
angles (deg): 90.00 90.00 90.00
Atoms (fractional coordinates):
Zr: 0.000 0.000 0.000
Zr: 0.500 0.500 0.500
Al: 0.000 0.000 0.696
Al: 0.500 0.500 0.196
Ir: 0.000 0.000 0.326
Ir: 0.500 0.500 0.826

=====

# 4
Computed, not measured: LiPmI3 after structural relaxation at the PBE level of DFT.

## Properties
- ΔE_f (raw): -1224 meV/atom
- Relative energy among the computed polymorphs: 0 kJ/mol of formula units
- Crystal system: monoclinic

a b c (Å): 8.165 4.301 10.818
angles (deg): 90.00 94.42 90.00
Atoms (fractional coordinates):
Li: 0.105 0.250 0.392
Li: 0.895 0.750 0.608
Pm: 0.434 0.250 0.860
Pm: 0.566 0.750 0.140
I: 0.105 0.250 0.656
I: 0.218 0.750 0.992
I: 0.428 0.250 0.324
I: 0.572 0.750 0.676
I: 0.782 0.250 0.008
I: 0.895 0.750 0.344

=====

# 5
Computed, not measured: Sm3HgNCl after structural relaxation at the PBE level of DFT.

## Properties
- ΔE_f (raw): -1079 meV/atom
- Crystal system: monoclinic

a b c (Å): 7.840 3.602 10.770
angles (deg): 90.00 105.69 90.00
Atoms (fractional coordinates):
Sm: 0.135 0.250 0.131
Sm: 0.286 0.750 0.508
Sm: 0.291 0.750 0.878
Sm: 0.709 0.250 0.122
Sm: 0.714 0.250 0.492
Sm: 0.865 0.750 0.869
Hg: 0.480 0.750 0.270
Hg: 0.520 0.250 0.730
N: 0.102 0.250 0.910
N: 0.898 0.750 0.090
Cl: 0.012 0.250 0.368
Cl: 0.988 0.750 0.632

=====

# 6
Computed, not measured: Pm2Y3Os2 after structural relaxation at the PBE level of DFT.

## Properties
- Crystal system: monoclinic
- ΔE_f: -0.175 eV per atom

a b c (Å): 12.139 3.965 8.565
angles (deg): 90.00 113.67 90.00
Atoms (fractional coordinates):
Pm: 0.164 0.000 0.307
Pm: 0.336 0.500 0.693
Pm: 0.664 0.500 0.307
Pm: 0.836 0.000 0.693
Y: 0.000 0.500 0.500
Y: 0.125 0.500 0.927
Y: 0.375 0.000 0.073
Y: 0.500 0.000 0.500
Y: 0.625 0.000 0.927
Y: 0.875 0.500 0.073
Os: 0.177 0.000 0.719
Os: 0.323 0.500 0.281
Os: 0.677 0.500 0.719
Os: 0.823 0.000 0.281